Material: InGaAg2Te2Se2
Method: DFT, PBE
State: relaxed

Calculated values
Energy relative to the elements, uncorrected ... -2.79 eV/f.u.
E ... -3.4389 eV/atom
SG ... No. 5
Fermi-level density of states ... 0.31 states/eV/f.u.

a = 7.524 Å, b = 7.524 Å, c = 6.252 Å
α = 114.49°, β = 114.49°, γ = 107.30°
Positions (direct):
In (0.000, 0.000, 0.000)
Ga (0.237, 0.763, 0.500)
Ag (0.508, 0.492, 0.000)
Ag (0.735, 0.265, 0.500)
Te (0.128, 0.400, 0.016)
Te (0.600, 0.872, 0.984)
Se (0.353, 0.104, 0.492)
Se (0.896, 0.647, 0.508)



Material: KReSb2Te
Method: DFT, PBE
State: relaxed

Calculated values
Energy relative to the elements, uncorrected ... 1.44 eV/f.u.
E ... -4.6980 eV/atom
Relative energy among the computed polymorphs ... 0 meV per atom
SG ... No. 123
Fermi-level density of states ... 6.60 states/eV/f.u.

a = 5.131 Å, b = 5.131 Å, c = 6.113 Å
α = 90.00°, β = 90.00°, γ = 90.00°
Positions (direct):
K (0.000, 0.000, 0.000)
Re (0.500, 0.500, 0.500)
Sb (0.000, 0.500, 0.500)
Sb (0.500, 0.000, 0.500)
Te (0.500, 0.500, 0.000)



Material: Li2Nd2CdPd5
Method: DFT, PBE
State: relaxed

Calculated values
E ... -4.6220 eV/atom
Calculated formation energy ... -0.598 eV/atom
SG ... No. 127
Fermi-level density of states ... 5.34 states/eV/f.u.

a = 9.657 Å, b = 9.657 Å, c = 3.844 Å
α = 90.00°, β = 90.00°, γ = 90.00°
Positions (direct):
Li (0.118, 0.382, 0.000)
Li (0.382, 0.882, 0.000)
Li (0.618, 0.118, 0.000)
Li (0.882, 0.618, 0.000)
Nd (0.180, 0.680, 0.000)
Nd (0.320, 0.180, 0.000)
Nd (0.680, 0.820, 0.000)
Nd (0.820, 0.320, 0.000)
Cd (0.000, 0.000, 0.000)
Cd (0.500, 0.500, 0.000)
Pd (0.000, 0.500, 0.500)
Pd (0.067, 0.211, 0.500)
Pd (0.211, 0.933, 0.500)
Pd (0.289, 0.433, 0.500)
Pd (0.433, 0.711, 0.500)
Pd (0.500, 0.000, 0.500)
Pd (0.567, 0.289, 0.500)
Pd (0.711, 0.567, 0.500)
Pd (0.789, 0.067, 0.500)
Pd (0.933, 0.789, 0.500)



Material: BaSnAs2
Method: DFT, PBE
State: relaxed

Calculated values
E ... -4.2234 eV/atom
Calculated formation energy ... -0.417 eV/atom
SG ... No. 166
Fermi-level density of states ... 1.89 states/eV/f.u.

a = 7.768 Å, b = 7.768 Å, c = 7.768 Å
α = 32.20°, β = 32.20°, γ = 32.20°
Positions (direct):
Ba (0.000, 0.000, 0.000)
Sn (0.500, 0.500, 0.500)
As (0.234, 0.234, 0.234)
As (0.766, 0.766, 0.766)



Material: Rb4CeDy3S8
Method: DFT, PBE
State: relaxed

Calculated values
Energy relative to the elements, uncorrected ... -29.24 eV/f.u.
E ... -5.3670 eV/atom
SG ... No. 166
Fermi-level density of states ... 4.65 states/eV/f.u.

a = 9.039 Å, b = 9.039 Å, c = 9.039 Å
α = 54.31°, β = 54.31°, γ = 54.31°
Positions (direct):
Rb (0.000, 0.000, 0.000)
Rb (0.000, 0.500, 0.500)
Rb (0.500, 0.000, 0.500)
Rb (0.500, 0.500, 0.000)
Ce (0.500, 0.500, 0.500)
Dy (0.000, 0.000, 0.500)
Dy (0.000, 0.500, 0.000)
Dy (0.500, 0.000, 0.000)
S (0.223, 0.735, 0.735)
S (0.230, 0.230, 0.230)
S (0.265, 0.265, 0.777)
S (0.265, 0.777, 0.265)
S (0.735, 0.223, 0.735)
S (0.735, 0.735, 0.223)
S (0.770, 0.770, 0.770)
S (0.777, 0.265, 0.265)



Material: Pm8PRh3I3
Method: DFT, PBE
State: relaxed

Calculated values
Energy relative to the elements, uncorrected ... -13.09 eV/f.u.
E ... -5.5473 eV/atom
SG ... No. 166
Fermi-level density of states ... 10.99 states/eV/f.u.

a = 9.170 Å, b = 9.170 Å, c = 9.170 Å
α = 54.39°, β = 54.39°, γ = 54.39°
Positions (direct):
Pm (0.222, 0.734, 0.734)
Pm (0.230, 0.230, 0.230)
Pm (0.266, 0.266, 0.778)
Pm (0.266, 0.778, 0.266)
Pm (0.734, 0.222, 0.734)
Pm (0.734, 0.734, 0.222)
Pm (0.770, 0.770, 0.770)
Pm (0.778, 0.266, 0.266)
P (0.500, 0.500, 0.500)
Rh (0.000, 0.000, 0.500)
Rh (0.000, 0.500, 0.000)
Rh (0.500, 0.000, 0.000)
I (0.000, 0.500, 0.500)
I (0.500, 0.000, 0.500)
I (0.500, 0.500, 0.000)



Material: Tb6In3H
Method: DFT, PBE
State: relaxed

Calculated values
E ... -4.3176 eV/atom
SG ... No. 36
Fermi-level density of states ... 6.84 states/eV/f.u.

a = 10.225 Å, b = 10.225 Å, c = 5.339 Å
α = 90.00°, β = 90.00°, γ = 111.52°
Positions (direct):
Tb (0.089, 0.911, 0.500)
Tb (0.098, 0.544, 0.500)
Tb (0.239, 0.761, 0.989)
Tb (0.248, 0.410, 0.001)
Tb (0.410, 0.248, 0.501)
Tb (0.456, 0.902, 0.500)
Tb (0.544, 0.098, 0.000)
Tb (0.590, 0.752, 0.001)
Tb (0.752, 0.590, 0.501)
Tb (0.761, 0.239, 0.489)
Tb (0.902, 0.456, 0.000)
Tb (0.911, 0.089, 0.000)
In (0.080, 0.228, 0.500)
In (0.228, 0.080, 0.000)
In (0.421, 0.579, 0.501)
In (0.579, 0.421, 0.001)
In (0.772, 0.920, 0.500)
In (0.920, 0.772, 0.000)
H (0.221, 0.779, 0.549)
H (0.779, 0.221, 0.049)



Material: Tb4TmMg5
Method: DFT, PBE
State: relaxed

Calculated values
E ... -3.1757 eV/atom
Calculated formation energy ... -0.079 eV/atom
SG ... No. 123
Fermi-level density of states ... 13.96 states/eV/f.u.

a = 3.790 Å, b = 3.790 Å, c = 18.954 Å
α = 90.00°, β = 90.00°, γ = 90.00°
Positions (direct):
Tb (0.000, 0.000, 0.101)
Tb (0.000, 0.000, 0.302)
Tb (0.000, 0.000, 0.698)
Tb (0.000, 0.000, 0.899)
Tm (0.000, 0.000, 0.500)
Mg (0.500, 0.500, 0.000)
Mg (0.500, 0.500, 0.201)
Mg (0.500, 0.500, 0.403)
Mg (0.500, 0.500, 0.597)
Mg (0.500, 0.500, 0.799)